Entry 1:
The following is a DFT calculation (PBE) of a relaxed KZrTlHg2 crystal.

Lattice parameters (Å, degrees): 5.633 5.992 5.633 90.00 90.00 90.00
Site moments in Bohr magnetons follow the coordinates.
Atoms (fractional coordinates):
K (0.000, 0.500, 0.000)  0.02
Tl (0.000, 0.000, 0.000)  -0.03
Hg (0.000, 0.000, 0.500)  0.00
Hg (0.500, 0.000, 0.000)  0.02
Zr (0.500, 0.500, 0.500)  1.57

Summary:
- Formation energy: 939 meV per atom
- Volume: 190 Å³ per cell

---

Entry 2:
The following is a DFT calculation (PBE) of a relaxed TaTi2OsC crystal.

Lattice parameters (Å, degrees): 4.281 3.934 4.281 90.00 90.00 90.00
Atoms (fractional coordinates):
C (0.000, 0.000, 0.000)
Ti (0.000, 0.000, 0.500)
Ti (0.500, 0.000, 0.000)
Os (0.000, 0.500, 0.000)
Ta (0.500, 0.500, 0.500)

Summary:
- Formation energy: -248 meV per atom
- Volume: 72 Å³ per cell

---

Entry 3:
The following is a DFT calculation (PBE) of a relaxed Sn3Te5S12 crystal.

Lattice parameters (Å, degrees): 14.239 14.239 14.239 109.47 109.47 109.47
Atoms (fractional coordinates):
Sn (0.750, 0.375, 0.125)
Sn (0.875, 0.750, 0.125)
Sn (0.375, 0.750, 0.625)
Sn (0.250, 0.125, 0.375)
Sn (0.875, 0.125, 0.250)
Sn (0.375, 0.625, 0.250)
Sn (0.625, 0.375, 0.750)
Sn (0.125, 0.875, 0.750)
Sn (0.750, 0.875, 0.625)
Sn (0.625, 0.250, 0.375)
Sn (0.125, 0.250, 0.875)
Sn (0.250, 0.625, 0.875)
Te (0.125, 0.375, 0.250)
Te (0.000, 0.500, 0.000)
Te (0.000, 0.000, 0.000)
Te (0.375, 0.250, 0.125)
Te (0.500, 0.000, 0.500)
Te (0.500, 0.500, 0.000)
Te (0.125, 0.750, 0.375)
Te (0.750, 0.125, 0.875)
Te (0.750, 0.625, 0.375)
Te (0.375, 0.125, 0.750)
Te (0.625, 0.875, 0.250)
Te (0.500, 0.500, 0.500)
Te (0.500, 0.000, 0.000)
Te (0.000, 0.000, 0.500)
Te (0.250, 0.375, 0.625)
Te (0.250, 0.875, 0.125)
Te (0.000, 0.500, 0.500)
Te (0.875, 0.250, 0.625)
Te (0.625, 0.750, 0.875)
Te (0.875, 0.625, 0.750)
S (0.713, 0.129, 0.042)
S (0.330, 0.542, 0.413)
S (0.958, 0.371, 0.287)
S (0.542, 0.213, 0.129)
S (0.583, 0.713, 0.670)
S (0.958, 0.587, 0.170)
S (0.330, 0.787, 0.417)
S (0.087, 0.917, 0.129)
S (0.587, 0.958, 0.670)
S (0.713, 0.583, 0.170)
S (0.787, 0.458, 0.371)
S (0.830, 0.913, 0.042)
S (0.129, 0.713, 0.542)
S (0.371, 0.413, 0.083)
S (0.083, 0.913, 0.371)
S (0.417, 0.129, 0.587)
S (0.083, 0.170, 0.213)
S (0.458, 0.670, 0.087)
S (0.830, 0.917, 0.287)
S (0.129, 0.417, 0.087)
S (0.371, 0.958, 0.787)
S (0.587, 0.629, 0.417)
S (0.913, 0.830, 0.542)
S (0.787, 0.330, 0.917)
S (0.413, 0.371, 0.583)
S (0.087, 0.170, 0.458)
S (0.213, 0.670, 0.083)
S (0.170, 0.083, 0.713)
S (0.629, 0.042, 0.213)
S (0.871, 0.583, 0.913)
S (0.542, 0.330, 0.913)
S (0.583, 0.871, 0.413)
S (0.917, 0.830, 0.787)
S (0.917, 0.087, 0.629)
S (0.871, 0.287, 0.458)
S (0.170, 0.087, 0.958)
S (0.629, 0.587, 0.917)
S (0.413, 0.042, 0.330)
S (0.287, 0.417, 0.830)
S (0.213, 0.542, 0.629)
S (0.913, 0.083, 0.871)
S (0.670, 0.213, 0.583)
S (0.458, 0.787, 0.871)
S (0.042, 0.413, 0.830)
S (0.417, 0.287, 0.330)
S (0.042, 0.629, 0.713)
S (0.670, 0.458, 0.587)
S (0.287, 0.871, 0.958)

Summary:
- Raw formation energy: 0.14 eV/atom
- Volume: 2222 Å³ per cell

---

Entry 4:
The following is a DFT calculation (PBE) of a relaxed HfTh2Ga crystal.

Lattice parameters (Å, degrees): 3.372 3.372 9.339 90.00 90.00 90.00
Atoms (fractional coordinates):
Hf (0.500, 0.500, 0.500)
Ga (0.500, 0.500, 0.000)
Th (0.000, 0.000, 0.761)
Th (0.000, 0.000, 0.239)

Summary:
- Formation energy: -71 meV per atom
- Energy above the lowest structure with this stoichiometry: 0.043 eV per atom
- Volume: 106 Å³ per cell

---

Entry 5:
The following is a DFT calculation (PBE) of a relaxed SrEr2Ga6 crystal.

Lattice parameters (Å, degrees): 4.430 7.741 7.741 56.39 73.38 73.38
Atoms (fractional coordinates):
Sr (0.000, 0.000, 0.000)
Er (0.875, 0.625, 0.625)
Er (0.125, 0.375, 0.375)
Ga (0.687, 0.011, 0.615)
Ga (0.313, 0.989, 0.385)
Ga (0.313, 0.385, 0.989)
Ga (0.500, 0.675, 0.325)
Ga (0.500, 0.325, 0.675)
Ga (0.687, 0.615, 0.011)

Summary:
- Formation energy: -485 meV per atom
- Energy above the lowest structure with this stoichiometry: 0.051 eV per atom
- Volume: 209 Å³ per cell

---

Entry 6:
The following is a DFT calculation (PBE) of a relaxed Ca3CdSe4 crystal.

Lattice parameters (Å, degrees): 4.181 4.181 11.827 90.00 90.00 90.00
Atoms (fractional coordinates):
Ca (0.500, 0.500, 0.753)
Ca (0.000, 0.000, 0.500)
Ca (0.500, 0.500, 0.247)
Se (0.000, 0.000, 0.246)
Se (0.500, 0.500, 0.000)
Se (0.000, 0.000, 0.754)
Se (0.500, 0.500, 0.500)
Cd (0.000, 0.000, 0.000)

Summary:
- Raw formation energy: -1.63 eV/atom
- Volume: 207 Å³ per cell

---

volume of number 2 (TaTi2OsC)?
72 Å³ per cell

---

Look up the volume of the fifth one.
209 Å³ per cell

---

Which of these has the lowest volume?
TaTi2OsC